A plane-wave DFT calculation with PBE with a Hubbard U was carried out for a geometry-optimized Na2YMoO6 structure.

Structure (POSCAR):
```
Na2YMoO6
1.0
5.695 0.000 0.000
0.000 5.836 0.000
-5.681 0.000 8.145
Na Y Mo O
4 2 2 12
Cartesian
-0.043 0.191 2.057
-2.884 2.727 6.129
2.898 3.109 2.016
0.058 5.645 6.088
2.847 0.000 0.000
0.007 2.918 4.072
-2.840 0.000 4.072
0.000 2.918 0.000
-4.622 1.334 7.750
-1.781 1.583 3.677
-4.129 4.026 7.809
-1.288 4.727 3.737
-2.346 0.157 5.944
0.494 2.761 1.871
-0.480 3.075 6.274
2.360 5.679 2.201
1.302 1.108 4.408
4.143 1.810 0.335
1.795 4.252 4.468
4.636 4.501 0.395
```

Results
* SG: P2_1/c
* total energy: -0.242 hartree per atom